(1)
YbFe6Ge6: optimized geometry, PBE.

Geometry as POSCAR:
```
YbFe6Ge6
1.0
2.544 -4.406 0.000
2.544 4.406 0.000
0.000 0.000 8.120
Yb Fe Ge
1 6 6
Direct
0.000 0.000 0.000 Yb
0.500 0.000 0.251 Fe
0.500 0.500 0.251 Fe
0.000 0.500 0.251 Fe
0.500 0.000 0.749 Fe
0.500 0.500 0.749 Fe
0.000 0.500 0.749 Fe
0.333 0.667 0.000 Ge
0.667 0.333 0.000 Ge
0.333 0.667 0.500 Ge
0.667 0.333 0.500 Ge
0.000 0.000 0.346 Ge
0.000 0.000 0.654 Ge
```

Properties
- Magnetization: 10.37 μB per formula unit
- Total DFT energy (no corrections): -6.41 eV/atom
- DFT formation energy: -0.25 eV per atom


(2)
ZnFeGe2: optimized geometry, PBE.

Geometry as POSCAR:
```
ZnFeGe2
1.0
-7.878 1.242 2.980
-3.138 -1.106 -7.837
-5.723 -2.301 -2.008
Ge Zn Fe
4 2 2
Direct
0.375 0.125 0.250 Ge
0.375 0.625 0.250 Ge
0.375 0.625 0.750 Ge
0.875 0.625 0.750 Ge
0.000 0.000 0.000 Zn
0.750 0.250 0.500 Zn
0.500 0.500 0.000 Fe
0.250 0.750 0.500 Fe
```

Properties
- Magnetization: 0.00 μB per formula unit
- Total DFT energy (no corrections): -4.67 eV/atom
- DFT formation energy: 0.07 eV per atom


(3)
Zn2FeGe2: optimized geometry, PBE.

Geometry as POSCAR:
```
Zn2FeGe2
1.0
3.303 0.000 0.000
0.000 3.303 0.000
1.652 1.652 7.999
Ge Zn Fe
2 2 1
Direct
0.417 0.417 0.166 Ge
0.583 0.583 0.834 Ge
0.750 0.250 0.500 Zn
0.250 0.750 0.500 Zn
0.000 0.000 0.000 Fe
```

Properties
- Magnetization: 2.10 μB per formula unit
- Total DFT energy (no corrections): -3.65 eV/atom
- DFT formation energy: 0.40 eV per atom


(4)
Zn2Fe6Ge: optimized geometry, PBE.

Geometry as POSCAR:
```
Zn2Fe6Ge
1.0
2.433 0.000 -0.644
-0.827 6.307 -3.126
0.644 -0.254 7.352
Zn Fe Ge
2 6 1
Direct
0.847 0.847 0.694 Zn
0.153 0.153 0.306 Zn
0.670 0.841 0.340 Fe
0.330 0.159 0.660 Fe
0.330 0.501 0.660 Fe
0.500 0.174 0.000 Fe
0.500 0.826 0.000 Fe
0.670 0.499 0.340 Fe
0.000 0.500 0.000 Ge
```

Properties
- Magnetization: 13.86 μB per formula unit
- Total DFT energy (no corrections): -6.31 eV/atom
- DFT formation energy: 0.13 eV per atom


- Among the records above, which one has the highest DFT formation energy?
  Zn2FeGe2